# 1
VASP calculation (PBE-GGA) on a geometry-optimized BaLaW2 structure.

a b c (Å): 11.8874 11.8874 11.8874
angles (deg): 14.78 14.78 14.78
Positions (direct):
1 Ba 0.0000 0.0000 0.0000
2 La 0.5000 0.5000 0.5000
3 W 0.2464 0.2464 0.2464
4 W 0.7536 0.7536 0.7536

Output
- Total moment: 0.000 μB/atom
- E above lowest polymorph: 861.5 meV per atom
- ΔE_f: 5.88 eV per formula unit
- Crystal system: trigonal

---

# 2
VASP calculation (PBE-GGA) on a geometry-optimized BaLaW2 structure.

a b c (Å): 4.4835 4.4835 8.7119
angles (deg): 92.93 92.93 45.95
Positions (direct):
1 Ba 0.0000 0.0000 0.0000
2 La 0.7974 0.7974 0.4249
3 W 0.2502 0.2502 0.7367
4 W 0.5412 0.5412 0.6340

Output
- Total moment: 0.000 μB/atom
- E above lowest polymorph: 155.6 meV per atom
- ΔE_f: 3.05 eV per formula unit
- Crystal system: monoclinic

---

# 3
VASP calculation (PBE-GGA) on a geometry-optimized BaLaW2 structure.

a b c (Å): 4.1470 4.1470 5.5452
angles (deg): 90.00 90.00 90.00
Positions (direct):
1 Ba 0.0000 0.0000 0.0000
2 La 0.5000 0.5000 0.0000
3 W 0.0000 0.5000 0.5000
4 W 0.5000 0.0000 0.5000

Output
- Total moment: 0.000 μB/atom
- E above lowest polymorph: 766.9 meV per atom
- ΔE_f: 5.50 eV per formula unit
- Crystal system: tetragonal